Entry 1:
AcPmInHg: optimized geometry, PBE.

Summary:
E_tot in eV/f.u.: -13.618
Formation enthalpy at 0 K in eV/f.u.: -1.72
Crystal system: cubic
Space group: F-43m (216)
Density in g/cm3: 9.1

Lattice parameters (Å, degrees): 5.6188 5.6188 5.6188 60.00 60.00 60.00
Last column: nearest neighbours and their distance in Å.
Fractional positions:
Pm: 0.0000 0.0000 0.0000  4 In 3.44, 4 Hg 3.44
In: 0.2500 0.2500 0.2500  4 Ac 3.44, 4 Pm 3.44
Ac: 0.5000 0.5000 0.5000  4 Hg 3.44, 4 In 3.44
Hg: 0.7500 0.7500 0.7500  4 Ac 3.44, 4 Pm 3.44

Entry 2:
CaZr2P: optimized geometry, PBE.

Summary:
E_tot in eV/f.u.: -24.442
Formation enthalpy at 0 K in eV/f.u.: 0.07
Crystal system: monoclinic
Space group: C2/m (12)
Density in g/cm3: 4.8

Lattice parameters (Å, degrees): 6.0661 6.0661 3.2222 74.74 74.74 119.42
Last column: nearest neighbours and their distance in Å.
Fractional positions:
Ca: 0.5000 0.0000 0.5000  4 Zr 3.04, 4 P 3.06-3.08, 2 Ca 3.22
P: 0.0000 0.5000 0.5000  4 Zr 3.04, 4 Ca 3.06-3.08, 2 P 3.22
Zr: 0.5000 0.5000 0.0000  2 P 3.04, 2 Ca 3.04, 6 Zr 3.06-3.22
Zr: 0.0000 0.0000 0.0000  2 Ca 3.04, 2 P 3.04, 6 Zr 3.06-3.22

Entry 3:
Cs2HgI: optimized geometry, PBE.

Summary:
E_tot in eV/f.u.: -6.850
Uncorrected formation energy in eV per formula unit: -3.29
Crystal system: tetragonal
Space group: P4/mmm (123)
Density in g/cm3: 4.8

Lattice parameters (Å, degrees): 4.7076 4.7076 9.2872 90.00 90.00 90.00
Last column: nearest neighbours and their distance in Å.
Fractional positions:
Cs: 0.0000 0.0000 0.2408  4 I 4.01, 4 Hg 4.11, 1 Cs 4.47
Cs: 0.0000 0.0000 0.7592  4 I 4.01, 4 Hg 4.11, 1 Cs 4.47
Hg: 0.5000 0.5000 0.5000  8 Cs 4.11
I: 0.5000 0.5000 0.0000  8 Cs 4.01